No. 1
! PbBr3Cl (PBE, relaxed); values from VASP
&SYSTEM
  ibrav = 0, nat = 5, ntyp = 3
/
ATOMIC_SPECIES
Pb 207.20 Pb.upf
Br 79.90 Br.upf
Cl 35.45 Cl.upf
CELL_PARAMETERS angstrom
5.447 0.000 0.000
0.000 5.447 0.000
0.000 0.000 5.447
ATOMIC_POSITIONS crystal
Pb 0.000 0.000 0.000
Br 0.000 0.500 0.500
Br 0.500 0.000 0.500
Br 0.500 0.500 0.000
Cl 0.500 0.500 0.500
! - Raw formation energy: 0.132 eV/atom
! - ΔE to the lowest computed polymorph: 0.251 eV/atom
! - Energy: -9.92 eV per cell
! - Spin magnetization: 0.64 μB per formula unit
! - Theoretical density: 4.96 g cm⁻³
! - Fermi-level density of states: 5.53 states/eV/cell

***

No. 2
! Tb2Pr3Th4 (PBE, relaxed); values from VASP
&SYSTEM
  ibrav = 0, nat = 9, ntyp = 3
/
ATOMIC_SPECIES
Tb 158.93 Tb.upf
Pr 140.91 Pr.upf
Th 232.04 Th.upf
CELL_PARAMETERS angstrom
6.256 0.000 0.000
3.126 5.434 0.000
3.074 1.820 8.845
ATOMIC_POSITIONS crystal
Tb 0.226 0.058 0.331
Tb 0.774 0.942 0.669
Pr 0.000 0.500 0.000
Pr 0.445 0.614 0.669
Pr 0.555 0.386 0.331
Th 0.101 0.274 0.669
Th 0.328 0.838 0.000
Th 0.672 0.162 0.000
Th 0.899 0.726 0.331
! - ΔH_f (0 K): 0.074 eV per atom
! - Energy: -52.61 eV per cell
! - Spin magnetization: 0.00 μB per formula unit
! - Theoretical density: 9.22 g cm⁻³
! - Fermi-level density of states: 14.49 states/eV/cell

***

No. 3
! LiCrPd5 (PBE, relaxed); values from VASP
&SYSTEM
  ibrav = 0, nat = 14, ntyp = 3
/
ATOMIC_SPECIES
Li 6.94 Li.upf
Cr 52.00 Cr.upf
Pd 106.42 Pd.upf
CELL_PARAMETERS angstrom
4.882 -4.726 0.000
4.882 4.726 0.000
-1.451 0.000 4.590
ATOMIC_POSITIONS crystal
Li 0.065 0.935 0.750
Li 0.935 0.065 0.250
Cr 0.500 0.500 0.000
Cr 0.500 0.500 0.500
Pd 0.165 0.336 0.088
Pd 0.168 0.548 0.669
Pd 0.240 0.760 0.250
Pd 0.336 0.165 0.588
Pd 0.452 0.832 0.831
Pd 0.548 0.168 0.169
Pd 0.664 0.835 0.412
Pd 0.760 0.240 0.750
Pd 0.832 0.452 0.331
Pd 0.835 0.664 0.912
! - ΔH_f (0 K): -0.049 eV per atom
! - ΔE to the lowest computed polymorph: 0.034 eV/atom
! - Energy: -75.69 eV per cell
! - Spin magnetization: 1.05 μB per formula unit
! - Theoretical density: 9.27 g cm⁻³
! - Fermi-level density of states: 12.73 states/eV/cell

***

- The highest energy belongs to which entry?
  PbBr3Cl